Record 1
LaReGeN2: optimized geometry, PBEsol.

Lattice parameters (Å, degrees): 4.004 4.004 4.872 90.00 90.00 90.00
Element x y z (fractional)
N1 0.000 0.500 0.000
Re1 0.000 0.000 0.000
N2 0.500 0.000 0.000
La1 0.500 0.500 0.500
Ge1 0.000 0.000 0.500

Results
The total energy comes out at -8.24 eV/atom. The volume is 15.62 A^3/atom. For the formation energy without anion corrections, the calculation gives -0.107 eV/atom. Its density of states at the Fermi level is 0.55 states/eV per atom.

Record 2
LaGeS2N: optimized geometry, PBEsol.

Lattice parameters (Å, degrees): 4.116 5.443 5.443 90.00 90.00 90.00
Element x y z (fractional)
S1 0.000 0.500 0.000
Ge1 0.500 0.500 0.500
La1 0.000 0.000 0.000
S2 0.000 0.000 0.500
N1 0.500 0.000 0.000

Results
The total energy comes out at -5.20 eV/atom. The volume is 24.39 A^3/atom. For the formation energy without anion corrections, the calculation gives 0.321 eV/atom. Its density of states at the Fermi level is 1.14 states/eV per atom.

Record 3
NaLa3Ge: optimized geometry, PBEsol.

Lattice parameters (Å, degrees): 5.824 5.824 5.824 90.00 90.00 90.00
Element x y z (fractional)
La1 0.500 0.000 0.000
Na1 0.500 0.500 0.500
La2 0.000 0.500 0.000
La3 0.000 0.000 0.500
Ge1 0.000 0.000 0.000

Results
The total energy comes out at -4.47 eV/atom. The volume is 39.51 A^3/atom. Its density of states at the Fermi level is 2.14 states/eV per atom. As for the formation enthalpy at 0 K: 0.01 eV per atom.